Entry 1:
# BaLi2Rh

A geometry-optimized BaLi2Rh structure (PBE, Alexandria via LeMat-Bulk).

The space group is I-4m2 (No. 119) and the conventional cell measures 4.879, 4.879 and 7.771 Å, with angles of 90.00, 90.00 and 90.00 degrees. The asymmetric unit holds Ba at (0.000, 0.000, 0.000), Li at (0.000, 0.000, 0.500), Li at (0.000, 0.500, 0.750) and Rh at (0.000, 0.500, 0.250).

The polymorph energy (0 for the lowest one) is 194 meV/atom. Its calculated formation energy is 118 meV/atom. Its volume is 185 Å³/cell. As for the density of states at the Fermi level: 3.89 states/eV/f.u.

***

Entry 2:
# BaLi2Rh

A geometry-optimized BaLi2Rh structure (PBE, Alexandria via LeMat-Bulk).

The space group is Pm (No. 6) and the conventional cell measures 4.070, 4.124 and 6.621 Å, with angles of 90.00, 106.57 and 90.00 degrees. The asymmetric unit holds Ba at (0.000, 0.000, 0.000), Li at (0.301, 0.000, 0.566), Li at (0.783, 0.500, 0.532) and Rh at (0.404, 0.500, 0.793).

The polymorph energy (0 for the lowest one) is 52 meV/atom. Its calculated formation energy is -24 meV/atom. Its volume is 107 Å³/cell. As for the density of states at the Fermi level: 2.16 states/eV/f.u.

***

Entry 3:
# BaLi2Rh2

A geometry-optimized BaLi2Rh2 structure (PBE, Alexandria via LeMat-Bulk).

The space group is I4/mmm (No. 139) and the conventional cell measures 4.499, 4.499 and 10.129 Å, with angles of 90.00, 90.00 and 90.00 degrees. The asymmetric unit holds Ba at (0.000, 0.000, 0.000), Li at (0.000, 0.500, 0.250) and Rh at (0.000, 0.000, 0.376).

The polymorph energy (0 for the lowest one) is 0 meV/atom. Its calculated formation energy is 50 meV/atom. Its volume is 205 Å³/cell. As for the density of states at the Fermi level: 6.07 states/eV/f.u.

***

Q: What is the formula in the second record?
A: BaLi2Rh

***

Q: The highest calculated formation energy belongs to which entry?
A: number 1

***

Q: Among the records above, which one has the lowest calculated formation energy?
A: number 2